[1]
A relaxed structure of SbTe2PbI, computed with PBE.

## Properties
Distance to the lowest polymorph of the same formula = 523 meV per atom
DOS(E_F) = 5.3 states/eV/f.u.

a = 5.7888 Å, b = 5.7888 Å, c = 5.8504 Å
α = 90.00°, β = 90.00°, γ = 90.00°
Atoms (fractional coordinates):
Te 0.0000 0.5000 0.0000
Te 0.5000 0.0000 0.0000
Pb 0.5000 0.5000 0.5000
I 0.0000 0.0000 0.0000
Sb 0.0000 0.0000 0.5000

---

[2]
A relaxed structure of LaIn3Pb, computed with PBE.

## Properties
Distance to the lowest polymorph of the same formula = 0 meV per atom
E_form = 0.360 eV/atom
DOS(E_F) = 3.7 states/eV/f.u.

a = 5.6771 Å, b = 5.6771 Å, c = 5.6771 Å
α = 90.00°, β = 90.00°, γ = 90.00°
Atoms (fractional coordinates):
In 0.0000 0.5000 0.0000
In 0.0000 0.0000 0.5000
In 0.5000 0.0000 0.0000
Pb 0.0000 0.0000 0.0000
La 0.5000 0.5000 0.5000

---

[3]
A relaxed structure of Rb2ZrBiS, computed with PBE.

## Properties
VASP energy = -2.839 eV per atom
DOS(E_F) = 8.2 states/eV/f.u.

a = 7.2370 Å, b = 5.3065 Å, c = 7.2370 Å
α = 90.00°, β = 90.00°, γ = 90.00°
Each line ends with the local moment (μB).
Atoms (fractional coordinates):
Bi 0.0000 0.0000 0.0000  -0.04
Zr 0.5000 0.5000 0.5000  1.72
Rb 0.5000 0.0000 0.0000  0.01
Rb 0.0000 0.0000 0.5000  0.01
S 0.0000 0.5000 0.0000  -0.01

---

[4]
A relaxed structure of Cs2LiLaF6, computed with PBE.

## Properties
VASP energy = -5.286 eV per atom
DOS(E_F) = 0.0 states/eV/f.u.

a = 6.4358 Å, b = 6.4358 Å, c = 6.4455 Å
α = 60.05°, β = 60.05°, γ = 90.00°
Atoms (fractional coordinates):
F 0.2565 0.2565 0.0000
F 0.2557 0.2557 0.4886
F 0.7435 0.7435 0.0000
F 0.7435 0.2565 0.0000
F 0.2565 0.7435 0.0000
F 0.7443 0.7443 0.5114
Li 0.5000 0.5000 0.0000
Cs 0.7500 0.2500 0.5000
Cs 0.2500 0.7500 0.5000
La 0.0000 0.0000 0.0000

---

[5]
A relaxed structure of Sc2TaZnSb, computed with PBE.

## Properties
Distance to the lowest polymorph of the same formula = 82 meV per atom
DOS(E_F) = 4.3 states/eV/f.u.

a = 5.2389 Å, b = 5.2389 Å, c = 5.1163 Å
α = 90.00°, β = 90.00°, γ = 90.00°
Atoms (fractional coordinates):
Zn 0.5000 0.5000 0.5000
Sb 0.0000 0.0000 0.0000
Ta 0.0000 0.0000 0.5000
Sc 0.0000 0.5000 0.0000
Sc 0.5000 0.0000 0.0000

---

[6]
A relaxed structure of LaMnSi2, computed with PBE.

## Properties
VASP energy = -6.579 eV per atom
DOS(E_F) = 3.4 states/eV/f.u.

a = 6.1796 Å, b = 6.1796 Å, c = 6.1796 Å
α = 38.02°, β = 38.02°, γ = 38.02°
Each line ends with the local moment (μB).
Atoms (fractional coordinates):
Si 0.0441 0.0441 0.0441  -0.04
Si 0.2920 0.2920 0.2920  -0.04
Mn 0.6734 0.6734 0.6734  2.32
La 0.4905 0.4905 0.4905  -0.06

---

[7]
A relaxed structure of Ba3TlPt, computed with PBE.

## Properties
Distance to the lowest polymorph of the same formula = 6 meV per atom
E_form = -0.493 eV/atom
DOS(E_F) = 4.6 states/eV/f.u.

a = 4.6913 Å, b = 9.5067 Å, c = 10.0453 Å
α = 99.22°, β = 90.00°, γ = 90.00°
Atoms (fractional coordinates):
Ba 0.7500 0.2836 0.9595
Ba 0.2500 0.9338 0.6700
Ba 0.7500 0.0662 0.3300
Ba 0.2500 0.3729 0.6152
Ba 0.2500 0.7164 0.0405
Ba 0.7500 0.6271 0.3848
Pt 0.2500 0.8390 0.3479
Pt 0.7500 0.1610 0.6521
Tl 0.2500 0.3410 0.2317
Tl 0.7500 0.6590 0.7683

---

[8]
A relaxed structure of TiGaS2I, computed with PBE.

## Properties
VASP energy = -4.701 eV per atom
DOS(E_F) = 1.9 states/eV/f.u.

a = 4.6965 Å, b = 5.8174 Å, c = 4.6965 Å
α = 90.00°, β = 90.00°, γ = 90.00°
Atoms (fractional coordinates):
S 0.0000 0.0000 0.5000
S 0.5000 0.0000 0.0000
I 0.0000 0.5000 0.0000
Ti 0.0000 0.0000 0.0000
Ga 0.5000 0.5000 0.5000

---

What is the DOS(E_F) in the seventh record? 4.6 states/eV/f.u.